A geometry-optimized CuSb2Te structure, computed with PBEsol.

Cell: 6.489 6.489 6.489 Å, 150.79 135.29 54.30°
Atoms (fractional coordinates):
1 Cu 0.000 0.000 0.000
2 Sb 0.186 0.686 0.500
3 Sb 0.814 0.314 0.500
4 Te 0.500 0.500 0.000

Properties
Raw formation energy in eV per atom: 0.16
V in Å³/f.u.: 93.3
Space-group type: Immm (71)